The following is a DFT calculation (PBE) of a relaxed Ag2NCl3 crystal.

abc: 6.5586 7.0675 7.9531
angles: 83.42 85.08 66.90
Space group P-1 (No. 2)
Symmetry-distinct sites (fractional):
Ag 0.1093 0.2360 0.4135 (multiplicity 2)
Ag 0.3233 0.0402 0.8175 (multiplicity 2)
N 0.4306 0.5760 0.9870 (multiplicity 2)
Cl 0.0365 0.3899 0.7035 (multiplicity 2)
Cl 0.2574 0.1379 0.1176 (multiplicity 2)
Cl 0.2922 0.8787 0.5623 (multiplicity 2)

Results
Its energy relative to the elements, uncorrected is -317 meV/atom. The density of states at the Fermi level comes out at 0.0380 states/eV per atom.